Entry 1:
# PBE InSeCl, optimized geometry
# - SG: I4mm
# - Density: 4972 kg/m³
# - Energy relative to the elements, uncorrected: -0.17 eV/atom
# - Density of states at the Fermi level: 1.5 states/eV/cell
data_InSeCl
_symmetry_space_group_name_H-M 'P 1'
_symmetry_Int_Tables_number 1
_symmetry_space_group_name_Hall 'P 1'
_cell_length_a 5.093
_cell_length_b 5.093
_cell_length_c 5.093
_cell_angle_alpha 129.56
_cell_angle_beta 129.57
_cell_angle_gamma 74.10
loop_
_atom_site_label
_atom_site_fract_x
_atom_site_fract_y
_atom_site_fract_z
Cl1 0.997 0.997 0.000
In1 0.324 0.324 0.000
Se1 0.679 0.679 0.000

Entry 2:
# PBE InSeCl2, optimized geometry
# - SG: C2/m
# - Density: 4314 kg/m³
# - Energy relative to the elements, uncorrected: -0.22 eV/atom
# - Density of states at the Fermi level: 1.4 states/eV/cell
# - Excess energy over the best structure of this formula in the dataset: 439 meV/atom
data_InSeCl2
_symmetry_space_group_name_H-M 'P 1'
_symmetry_Int_Tables_number 1
_symmetry_space_group_name_Hall 'P 1'
_cell_length_a 5.314
_cell_length_b 5.314
_cell_length_c 4.955
_cell_angle_alpha 66.63
_cell_angle_beta 66.63
_cell_angle_gamma 105.48
loop_
_atom_site_label
_atom_site_fract_x
_atom_site_fract_y
_atom_site_fract_z
Cl1 0.000 0.000 0.000
Cl2 0.500 0.500 0.000
Se1 0.000 0.500 0.500
In1 0.500 0.000 0.500

Entry 3:
# PBE In2SeCl2, optimized geometry
# - SG: P-1
# - Density: 3794 kg/m³
# - Energy relative to the elements, uncorrected: -0.76 eV/atom
# - Density of states at the Fermi level: 0.0 states/eV/cell
# - Excess energy over the best structure of this formula in the dataset: 25 meV/atom
data_In2SeCl2
_symmetry_space_group_name_H-M 'P 1'
_symmetry_Int_Tables_number 1
_symmetry_space_group_name_Hall 'P 1'
_cell_length_a 4.135
_cell_length_b 11.033
_cell_length_c 8.124
_cell_angle_alpha 84.31
_cell_angle_beta 75.27
_cell_angle_gamma 67.96
loop_
_atom_site_label
_atom_site_fract_x
_atom_site_fract_y
_atom_site_fract_z
In1 0.466 0.748 0.069
In2 0.805 0.247 0.395
In3 0.534 0.252 0.931
In4 0.195 0.753 0.605
Se1 0.784 0.760 0.411
Se2 0.216 0.240 0.589
Cl1 0.739 0.423 0.176
Cl2 0.913 0.919 0.834
Cl3 0.087 0.081 0.166
Cl4 0.261 0.577 0.824

Entry 4:
# PBE InSeCl2, optimized geometry
# - SG: Immm
# - Density: 3692 kg/m³
# - Energy relative to the elements, uncorrected: -0.28 eV/atom
# - Density of states at the Fermi level: 1.8 states/eV/cell
# - Excess energy over the best structure of this formula in the dataset: 382 meV/atom
data_InSeCl2
_symmetry_space_group_name_H-M 'P 1'
_symmetry_Int_Tables_number 1
_symmetry_space_group_name_Hall 'P 1'
_cell_length_a 7.347
_cell_length_b 7.347
_cell_length_c 5.273
_cell_angle_alpha 68.96
_cell_angle_beta 68.96
_cell_angle_gamma 26.75
loop_
_atom_site_label
_atom_site_fract_x
_atom_site_fract_y
_atom_site_fract_z
Cl1 0.101 0.101 0.899
Cl2 0.399 0.399 0.601
Se1 0.250 0.250 0.250
In1 0.750 0.750 0.750

Entry 5:
# PBE InSe2Cl, optimized geometry
# - SG: R-3m
# - Density: 5168 kg/m³
# - Energy relative to the elements, uncorrected: 0.25 eV/atom
# - Density of states at the Fermi level: 2.3 states/eV/cell
# - Excess energy over the best structure of this formula in the dataset: 771 meV/atom
data_InSe2Cl
_symmetry_space_group_name_H-M 'P 1'
_symmetry_Int_Tables_number 1
_symmetry_space_group_name_Hall 'P 1'
_cell_length_a 13.216
_cell_length_b 13.216
_cell_length_c 13.216
_cell_angle_alpha 12.83
_cell_angle_beta 12.83
_cell_angle_gamma 12.83
loop_
_atom_site_label
_atom_site_fract_x
_atom_site_fract_y
_atom_site_fract_z
Cl1 0.500 0.500 0.500
Se1 0.927 0.927 0.927
Se2 0.073 0.073 0.073
In1 0.000 0.000 0.000

Entry 6:
# PBE InSeCl2, optimized geometry
# - SG: Cmmm
# - Density: 4034 kg/m³
# - Energy relative to the elements, uncorrected: -0.09 eV/atom
# - Density of states at the Fermi level: 3.1 states/eV/cell
# - Excess energy over the best structure of this formula in the dataset: 566 meV/atom
data_InSeCl2
_symmetry_space_group_name_H-M 'P 1'
_symmetry_Int_Tables_number 1
_symmetry_space_group_name_Hall 'P 1'
_cell_length_a 3.312
_cell_length_b 3.312
_cell_length_c 9.933
_cell_angle_alpha 90.00
_cell_angle_beta 90.00
_cell_angle_gamma 90.12
loop_
_atom_site_label
_atom_site_fract_x
_atom_site_fract_y
_atom_site_fract_z
Cl1 0.000 0.000 0.085
Cl2 0.000 0.000 0.415
Se1 0.500 0.500 0.750
In1 0.500 0.500 0.250

Entry 7:
# PBE InSeCl2, optimized geometry
# - SG: Cmm2
# - Density: 3357 kg/m³
# - Energy relative to the elements, uncorrected: -0.24 eV/atom
# - Density of states at the Fermi level: 2.6 states/eV/cell
# - Excess energy over the best structure of this formula in the dataset: 415 meV/atom
data_InSeCl2
_symmetry_space_group_name_H-M 'P 1'
_symmetry_Int_Tables_number 1
_symmetry_space_group_name_Hall 'P 1'
_cell_length_a 4.361
_cell_length_b 4.361
_cell_length_c 8.438
_cell_angle_alpha 90.00
_cell_angle_beta 90.00
_cell_angle_gamma 125.34
loop_
_atom_site_label
_atom_site_fract_x
_atom_site_fract_y
_atom_site_fract_z
Cl1 0.000 0.000 0.932
Cl2 0.500 0.500 0.313
Se1 0.500 0.500 0.730
In1 0.000 0.000 0.524

Entry 8:
# PBE InSe2Cl, optimized geometry
# - SG: C2/m
# - Density: 4943 kg/m³
# - Energy relative to the elements, uncorrected: -0.06 eV/atom
# - Density of states at the Fermi level: 2.6 states/eV/cell
# - Excess energy over the best structure of this formula in the dataset: 460 meV/atom
data_InSe2Cl
_symmetry_space_group_name_H-M 'P 1'
_symmetry_Int_Tables_number 1
_symmetry_space_group_name_Hall 'P 1'
_cell_length_a 7.259
_cell_length_b 6.099
_cell_length_c 2.851
_cell_angle_alpha 62.02
_cell_angle_beta 90.04
_cell_angle_gamma 109.14
loop_
_atom_site_label
_atom_site_fract_x
_atom_site_fract_y
_atom_site_fract_z
Cl1 0.500 0.500 0.000
In1 0.500 0.000 0.500
Se1 0.000 0.000 0.000
Se2 0.000 0.500 0.500

Entry 9:
# PBE InSeCl2, optimized geometry
# - SG: Cm
# - Density: 3488 kg/m³
# - Energy relative to the elements, uncorrected: -0.53 eV/atom
# - Density of states at the Fermi level: 1.2 states/eV/cell
# - Excess energy over the best structure of this formula in the dataset: 132 meV/atom
data_InSeCl2
_symmetry_space_group_name_H-M 'P 1'
_symmetry_Int_Tables_number 1
_symmetry_space_group_name_Hall 'P 1'
_cell_length_a 7.172
_cell_length_b 7.172
_cell_length_c 5.251
_cell_angle_alpha 68.23
_cell_angle_beta 68.23
_cell_angle_gamma 30.36
loop_
_atom_site_label
_atom_site_fract_x
_atom_site_fract_y
_atom_site_fract_z
Cl1 0.978 0.978 0.648
Cl2 0.636 0.636 0.989
Se1 0.269 0.269 0.355
In1 0.618 0.618 0.508

Entry 10:
# PBE In2Se2Cl, optimized geometry
# - SG: Immm
# - Density: 5284 kg/m³
# - Energy relative to the elements, uncorrected: -0.57 eV/atom
# - Density of states at the Fermi level: 1.2 states/eV/cell
# - Excess energy over the best structure of this formula in the dataset: 0 meV/atom
data_In2Se2Cl
_symmetry_space_group_name_H-M 'P 1'
_symmetry_Int_Tables_number 1
_symmetry_space_group_name_Hall 'P 1'
_cell_length_a 4.079
_cell_length_b 5.636
_cell_length_c 6.748
_cell_angle_alpha 114.68
_cell_angle_beta 107.59
_cell_angle_gamma 90.00
loop_
_atom_site_label
_atom_site_fract_x
_atom_site_fract_y
_atom_site_fract_z
In1 0.683 0.183 0.367
In2 0.317 0.817 0.633
Se1 0.345 0.345 0.690
Se2 0.655 0.655 0.310
Cl1 0.000 0.000 0.000